[1]
VASP calculation (GGA-PBE) on a relaxed structure of CaCdCl.

```
CaCdCl
1.0
0.0000 3.5444 3.5444
3.5444 0.0000 3.5444
3.5444 3.5444 0.0000
Ca Cd Cl
1 1 1
direct
0.0000 0.0000 0.0000
0.5000 0.5000 0.5000
0.7500 0.7500 0.7500
```

Results
DOS(E_F)   0.844 states/eV/atom
Uncorrected formation energy   -0.657 eV per atom


[2]
VASP calculation (GGA-PBE) on a relaxed structure of CaCdCl.

```
CaCdCl
1.0
3.8981 0.0000 0.0000
-1.9491 3.3759 0.0000
0.0000 0.0000 15.4350
Ca Cd Cl
2 2 2
direct
0.0000 0.0000 0.1626
0.0000 0.0000 0.8374
0.0000 0.0000 0.5000
0.6667 0.3333 0.0000
0.6667 0.3333 0.2640
0.6667 0.3333 0.7360
```

Results
DOS(E_F)   0.344 states/eV/atom
Uncorrected formation energy   -1.041 eV per atom


[3]
VASP calculation (GGA-PBE) on a relaxed structure of CaCd4Cl.

```
CaCd4Cl
1.0
0.0000 4.3008 4.3008
4.3008 0.0000 4.3008
4.3008 4.3008 0.0000
Ca Cd Cl
1 4 1
direct
0.0000 0.0000 0.0000
0.1236 0.6255 0.6255
0.6255 0.1236 0.6255
0.6255 0.6255 0.1236
0.6255 0.6255 0.6255
0.2500 0.2500 0.2500
```

Results
DOS(E_F)   0.326 states/eV/atom
Uncorrected formation energy   -0.280 eV per atom


[4]
VASP calculation (GGA-PBE) on a relaxed structure of CaCd3Cl.

```
CaCd3Cl
1.0
6.2092 0.0000 0.0000
0.0000 6.2092 0.0000
0.0000 0.0000 6.2092
Ca Cd Cl
1 3 1
direct
0.0000 0.0000 0.0000
0.0000 0.0000 0.5000
0.0000 0.5000 0.0000
0.5000 0.0000 0.0000
0.5000 0.5000 0.5000
```

Results
DOS(E_F)   0.484 states/eV/atom
Uncorrected formation energy   0.171 eV per atom


[5]
VASP calculation (GGA-PBE) on a relaxed structure of Cs3CaCd2Cl9.

```
Cs3CaCd2Cl9
1.0
7.5909 0.0000 0.0000
-3.7955 6.5739 0.0000
0.0000 0.0000 9.3151
Cs Ca Cd Cl
3 1 2 9
direct
0.0000 0.0000 0.0000
0.3333 0.6667 0.6697
0.6667 0.3333 0.3303
0.0000 0.0000 0.5000
0.3333 0.6667 0.1649
0.6667 0.3333 0.8351
0.0000 0.5000 0.0000
0.1690 0.3379 0.3299
0.1690 0.8310 0.3299
0.3379 0.1690 0.6701
0.5000 0.0000 0.0000
0.5000 0.5000 0.0000
0.6621 0.8310 0.3299
0.8310 0.1690 0.6701
0.8310 0.6621 0.6701
```

Results
DOS(E_F)   0.000 states/eV/atom
Uncorrected formation energy   -1.744 eV per atom


[6]
VASP calculation (GGA-PBE) on a relaxed structure of Cs4CaCd3Cl12.

```
Cs4CaCd3Cl12
1.0
-5.3576 5.3576 5.3576
5.3576 -5.3576 5.3576
5.3576 5.3576 -5.3576
Cs Ca Cd Cl
4 1 3 12
direct
0.0000 0.0000 0.5000
0.0000 0.5000 0.0000
0.5000 0.0000 0.0000
0.5000 0.5000 0.5000
0.0000 0.0000 0.0000
0.0000 0.5000 0.5000
0.5000 0.0000 0.5000
0.5000 0.5000 0.0000
0.0000 0.2540 0.2540
0.0000 0.7460 0.7460
0.2500 0.5000 0.7500
0.2500 0.7500 0.5000
0.2540 0.0000 0.2540
0.2540 0.2540 0.0000
0.5000 0.2500 0.7500
0.5000 0.7500 0.2500
0.7460 0.0000 0.7460
0.7460 0.7460 0.0000
0.7500 0.2500 0.5000
0.7500 0.5000 0.2500
```

Results
DOS(E_F)   0.000 states/eV/atom
Uncorrected formation energy   -1.677 eV per atom